<i>
The following is a DFT calculation (PBEsol) of a relaxed As crystal.

Size of the total moment = 0.00 μB/cell
Space group = R-3m, No. 166

a b c (Å): 3.7899 3.7899 4.0071
angles (deg): 61.78 61.78 60.00
Last column: nearest neighbours and their distance in Å.
Positions (direct):
As 0.2305 0.2305 0.3084  3 As 2.54
As 0.7695 0.7695 0.6916  3 As 2.54

***

<ii>
The following is a DFT calculation (PBEsol) of a relaxed As crystal.

Size of the total moment = 0.00 μB/cell
Space group = Cmce, No. 64

a b c (Å): 3.7441 4.2696 5.7471
angles (deg): 90.00 109.01 90.00
Last column: nearest neighbours and their distance in Å.
Positions (direct):
As 0.1124 0.5544 0.2248  3 As 2.49-2.51
As 0.3876 0.0544 0.7752  3 As 2.49-2.51
As 0.6124 0.9456 0.2248  3 As 2.49-2.51
As 0.8876 0.4456 0.7752  3 As 2.49-2.51

***

Least stable of them? <ii>.

***

<i>
The following is a DFT calculation (PBEsol) of a relaxed As3Au crystal.

Size of the total moment = 0.00 μB/cell
Space group = Pmmm, No. 47

a b c (Å): 2.8763 4.3511 5.9225
angles (deg): 90.00 90.00 90.00
Last column: nearest neighbours and their distance in Å.
Positions (direct):
As 0.5000 0.5000 0.7771  3 As 2.64-2.88, 4 Au 2.92
As 0.0000 0.0000 0.5000  10 As 2.88-3.08, 2 Au 2.96
As 0.5000 0.5000 0.2229  3 As 2.64-2.88, 4 Au 2.92
Au 0.0000 0.0000 0.0000  2 Au 2.88, 10 As 2.92-2.96

***

<ii>
The following is a DFT calculation (PBEsol) of a relaxed As3Au crystal.

Size of the total moment = 0.00 μB/cell
Space group = Cmmm, No. 65

a b c (Å): 2.9058 2.9058 9.9464
angles (deg): 90.00 90.00 119.90
Last column: nearest neighbours and their distance in Å.
Positions (direct):
As 0.0000 0.0000 0.2587  2 Au 2.81, 8 As 2.91-2.96
As 0.5000 0.5000 0.0000  10 As 2.91-2.96
As 0.0000 0.0000 0.7413  2 Au 2.81, 8 As 2.91-2.96
Au 0.5000 0.5000 0.5000  4 As 2.81, 6 Au 2.91

***

Least stable of them? <i>.

***

<i>
The following is a DFT calculation (PBEsol) of a relaxed BeAsAu2 crystal.

Size of the total moment = 0.00 μB/cell
Space group = I4/mmm, No. 139

a b c (Å): 3.9613 3.9613 4.8725
angles (deg): 113.98 113.98 90.00
Last column: nearest neighbours and their distance in Å.
Positions (direct):
Be 0.5000 0.5000 0.0000  4 As 2.80, 8 Au 2.81
As 0.0000 0.0000 0.0000  4 Be 2.80, 8 Au 2.81
Au 0.7500 0.2500 0.5000  4 Au 2.80, 4 Be 2.81, 4 As 2.81
Au 0.2500 0.7500 0.5000  4 Au 2.80, 4 Be 2.81, 4 As 2.81

***

<ii>
The following is a DFT calculation (PBEsol) of a relaxed BeAsAu2 crystal.

Size of the total moment = 0.00 μB/cell
Space group = F-43m, No. 216

a b c (Å): 4.4956 4.4956 4.4956
angles (deg): 60.00 60.00 60.00
Last column: nearest neighbours and their distance in Å.
Positions (direct):
Be 0.2500 0.2500 0.2500  4 As 2.75, 4 Au 2.75
As 0.5000 0.5000 0.5000  4 Be 2.75, 4 Au 2.75
Au 0.0000 0.0000 0.0000  4 Au 2.75, 4 Be 2.75
Au 0.7500 0.7500 0.7500  4 Au 2.75, 4 As 2.75

***

Least stable of them? <ii>.

***

<i>
The following is a DFT calculation (PBEsol) of a relaxed CuAs2AuBr crystal.

Size of the total moment = 0.01 μB/cell
Space group = P4/mmm, No. 123

a b c (Å): 4.8408 4.9332 4.9332
angles (deg): 90.00 90.00 90.00
Last column: nearest neighbours and their distance in Å.
Positions (direct):
As 0.0000 0.0000 0.5000  2 Au 2.47
As 0.0000 0.5000 0.0000  2 Au 2.47
Au 0.0000 0.0000 0.0000  2 Cu 2.42, 4 As 2.47
Cu 0.5000 0.0000 0.0000  2 Au 2.42
Br 0.5000 0.5000 0.5000  8 As 3.46, 4 Cu 3.49

***

<ii>
The following is a DFT calculation (PBEsol) of a relaxed CuAs2AuBr crystal.

Size of the total moment = 1.42 μB/cell
Space group = P4/mmm, No. 123

a b c (Å): 4.9515 4.9515 5.2165
angles (deg): 90.00 90.00 90.00
Last column: nearest neighbours and their distance in Å.
Positions (direct):
As 0.0000 0.5000 0.0000  2 Au 2.48
As 0.5000 0.0000 0.0000  2 Au 2.48
Au 0.0000 0.0000 0.0000  4 As 2.48, 2 Br 2.61
Cu 0.5000 0.5000 0.5000  4 Br 3.50, 8 As 3.60
Br 0.0000 0.0000 0.5000  2 Au 2.61

***

Least stable of them? <ii>.

***

<i>
The following is a DFT calculation (PBEsol) of a relaxed AsAuBr2F crystal.

Size of the total moment = 0.00 μB/cell
Space group = P4/mmm, No. 123

a b c (Å): 3.7840 5.3902 5.3902
angles (deg): 90.00 90.00 90.00
Last column: nearest neighbours and their distance in Å.
Positions (direct):
As 0.5000 0.0000 0.0000  2 F 1.89
Au 0.5000 0.5000 0.5000  8 Br 3.29
Br 0.0000 0.0000 0.5000  2 F 2.70
Br 0.0000 0.5000 0.0000  2 F 2.70
F 0.0000 0.0000 0.0000  2 As 1.89

***

<ii>
The following is a DFT calculation (PBEsol) of a relaxed AsAuBr2F crystal.

Size of the total moment = 0.23 μB/cell
Space group = P4/mmm, No. 123

a b c (Å): 4.9005 5.1314 5.1314
angles (deg): 90.00 90.00 90.00
Last column: nearest neighbours and their distance in Å.
Positions (direct):
As 0.5000 0.0000 0.0000  2 Au 2.45
Au 0.0000 0.0000 0.0000  2 As 2.45, 4 Br 2.57
Br 0.0000 0.0000 0.5000  2 Au 2.57
Br 0.0000 0.5000 0.0000  2 Au 2.57
F 0.5000 0.5000 0.5000  8 Br 3.55, 4 As 3.63

***

Least stable of them? <ii>.

***

<i>
The following is a DFT calculation (PBEsol) of a relaxed AsAuSe2Br crystal.

Size of the total moment = 0.01 μB/cell
Space group = P4/mmm, No. 123

a b c (Å): 4.9943 4.9943 5.1013
angles (deg): 90.00 90.00 90.00
Last column: nearest neighbours and their distance in Å.
Positions (direct):
As 0.0000 0.0000 0.5000  2 Br 2.55
Au 0.5000 0.5000 0.5000  4 As 3.53, 8 Se 3.57
Se 0.0000 0.5000 0.0000  2 Br 2.50
Se 0.5000 0.0000 0.0000  2 Br 2.50
Br 0.0000 0.0000 0.0000  4 Se 2.50, 2 As 2.55

***

<ii>
The following is a DFT calculation (PBEsol) of a relaxed AsAuSe2Br crystal.

Size of the total moment = 0.01 μB/cell
Space group = P4/mmm, No. 123

a b c (Å): 4.9794 4.9794 5.0969
angles (deg): 90.00 90.00 90.00
Last column: nearest neighbours and their distance in Å.
Positions (direct):
As 0.0000 0.0000 0.5000  2 Au 2.55
Au 0.0000 0.0000 0.0000  4 Se 2.49, 2 As 2.55
Se 0.0000 0.5000 0.0000  2 Au 2.49
Se 0.5000 0.0000 0.0000  2 Au 2.49
Br 0.5000 0.5000 0.5000  4 As 3.52, 8 Se 3.56

***

Least stable of them? <i>.